The following is a PBE calculation of crystalline NaZn9Cu2 at its relaxed geometry, from Alexandria via LeMat-Bulk.

N(E_F) in states/eV per cell: 3.8
Volume in A^3/atom: 15.5
ΔE to the lowest computed polymorph in meV/atom: 55.4

Lattice parameters (Å, degrees): 2.926 8.572 8.572 120.00 90.00 90.00
Fractional positions:
Cu 0.000 0.667 0.333
Cu 0.000 0.333 0.667
Na 0.000 0.000 0.000
Zn 0.500 0.815 0.185
Zn 0.500 0.185 0.370
Zn 0.000 0.500 0.000
Zn 0.500 0.815 0.630
Zn 0.000 0.500 0.500
Zn 0.000 0.000 0.500
Zn 0.500 0.185 0.815
Zn 0.500 0.630 0.815
Zn 0.500 0.370 0.185